First-principles (PBE) data for an optimized crystal structure of Cr2CuSi, as listed in Alexandria via LeMat-Bulk.

Lattice parameters (Å, degrees): 2.535 3.900 4.831 90.00 93.91 90.00
Space group P2/m (No. 10)
Symmetry-distinct sites (fractional):
Cr (0.074, 0.000, 0.270) x2
Cu (0.500, 0.500, 0.000) x1
Si (0.500, 0.500, 0.500) x1

Output
raw formation energy: 0.0411 eV per atom
calculated volume: 11.91 Å³ per atom
E: -7.1503 eV/atom
total magnetic moment: 0.0 Bohr magnetons per cell
density: 6.82 Mg/m³